Density functional theory data (GGA-PBE) for an optimized crystal structure of Pu6OsPb.

Computed properties:
DOS(E_F) in states/eV per cell: 34.87
Calculated total energy in eV per atom: -12.509
Magnetic moment in μB/atom: 2.72
Volume in Å³/f.u.: 195.4
SG: P4/mmm (123)
Calculated formation energy in eV/atom: 0.107

Cell: 4.689 4.689 8.888 Å, 90.00 90.00 90.00°
Each line ends with the local moment (μB).
Atoms (fractional coordinates):
Pu (0.500, 0.500, 0.500)  5.55
Os (0.000, 0.000, 0.500)  -0.73
Pu (0.000, 0.500, 0.277)  5.31
Pb (0.000, 0.000, 0.000)  -0.03
Pu (0.000, 0.500, 0.723)  5.31
Pu (0.500, 0.000, 0.277)  5.31
Pu (0.500, 0.500, 0.000)  -5.22
Pu (0.500, 0.000, 0.723)  5.31

Density functional theory data (GGA-PBE) for an optimized crystal structure of Pu2OsPb.

Computed properties:
DOS(E_F) in states/eV per cell: 13.39
Calculated total energy in eV per atom: -10.591
Magnetic moment in μB/atom: 2.72
Volume in Å³/f.u.: 103.3
Relative energy among the computed polymorphs in meV per atom: 452.7
SG: R-3m (166)
Calculated formation energy in eV/atom: 0.309

Cell: 3.318 3.318 10.998 Å, 81.32 81.32 60.00°
Each line ends with the local moment (μB).
Atoms (fractional coordinates):
Pb (0.000, 0.000, 0.000)  0.00
Os (0.500, 0.500, 0.500)  -0.56
Pu (0.898, 0.898, 0.307)  5.37
Pu (0.102, 0.102, 0.693)  5.37